# LiTiV2O8, optimized geometry, DFT PBE+U
data_LiTiV2O8
_symmetry_space_group_name_H-M 'I -4 m 2'
_symmetry_Int_Tables_number 119
_symmetry_space_group_name_Hall 'I -4 -2'
_cell_length_a 6.7081
_cell_length_b 6.7081
_cell_length_c 6.0877
_cell_angle_alpha 90.00
_cell_angle_beta 90.00
_cell_angle_gamma 90.00
loop_
_atom_site_label
_atom_site_fract_x
_atom_site_fract_y
_atom_site_fract_z
Li1 0.0000 0.0000 0.0000
Ti1 0.0000 0.5000 0.7500
V1 0.0000 0.0000 0.5000
V2 0.0000 0.5000 0.2500
O1 0.0000 0.2144 0.6601
O2 0.0000 0.3061 0.0600
# Energy in eV/atom: -7.262
# DOS(E_F) in states/eV/cell: 12.67
# Magnetic moment in μB/atom: 0.087